Compound: CaErHg6
Source: the Alexandria database
Functional: GGA-PBE
Structure: relaxed

a b c (Å): 6.016 6.016 8.926
angles (deg): 70.30 70.30 60.00
Fractional coordinates of all 8 atoms:
Hg  0.937  0.937  0.683
Hg  0.557  0.063  0.317
Hg  0.063  0.063  0.317
Hg  0.063  0.557  0.317
Hg  0.937  0.443  0.683
Hg  0.443  0.937  0.683
Ca  0.000  0.000  0.000
Er  0.500  0.500  0.500

Results
**Magnetic moment**: 0.00 Bohr magnetons per cell
**Calculated formation energy**: -73 kJ/mol of formula units
**Crystal system**: trigonal
**Fermi-level density of states**: 4.974 states/eV/f.u.